Computed, not measured: a relaxed structure of BaLaBe4 at the GGA-PBE level of DFT.

Values from the calculation:
ΔH_f (0 K): 0.4744 eV per atom
Energy: -18.909 eV for the cell shown
D(E_F): 0.99 states/eV per atom
Magnetic moment: 0.00 μB/f.u.

The structure in POSCAR format:
```
BaLaBe4
1.0
0.000 3.884 3.884
3.884 0.000 3.884
3.884 3.884 0.000
Ba La Be
1 1 4
Cartesian
0.000 0.000 0.000
5.826 5.826 5.826
3.094 4.675 4.675
4.675 4.675 3.094
4.675 3.094 4.675
3.094 3.094 3.094
```

Computed, not measured: a relaxed structure of Ba2LaBe at the GGA-PBE level of DFT.

Values from the calculation:
ΔH_f (0 K): 0.5421 eV per atom
Energy: -10.331 eV for the cell shown
D(E_F): 1.36 states/eV per atom
Magnetic moment: 0.00 μB/f.u.

The structure in POSCAR format:
```
Ba2LaBe
1.0
-4.508 -0.868 2.497
0.435 -4.230 -0.684
3.623 -3.012 5.494
Be Ba La
1 2 1
Cartesian
-1.239 -2.244 2.451
0.151 -0.437 0.120
1.878 -3.184 2.285
0.790 -5.865 4.857
```

Computed, not measured: a relaxed structure of BaLaBe3 at the GGA-PBE level of DFT.

Values from the calculation:
Energy above the lowest structure with this stoichiometry: 1.39 eV/f.u.
ΔH_f (0 K): 1.4604 eV per atom
Energy: -10.727 eV for the cell shown
D(E_F): 0.57 states/eV per atom
Magnetic moment: 0.00 μB/f.u.

The structure in POSCAR format:
```
BaLaBe3
1.0
5.112 0.000 0.000
0.000 5.112 0.000
0.000 0.000 5.112
Be Ba La
3 1 1
Cartesian
0.000 2.556 0.000
0.000 0.000 2.556
2.556 0.000 0.000
0.000 0.000 0.000
2.556 2.556 2.556
```

Computed, not measured: a relaxed structure of Ba2LaBe at the GGA-PBE level of DFT.

Values from the calculation:
ΔH_f (0 K): 0.5674 eV per atom
Energy: -10.230 eV for the cell shown
D(E_F): 1.08 states/eV per atom
Magnetic moment: 0.00 μB/f.u.

The structure in POSCAR format:
```
Ba2LaBe
1.0
5.766 0.000 0.000
0.000 5.766 0.000
-2.883 -2.883 4.076
Be Ba La
1 2 1
Cartesian
2.883 2.883 0.000
0.000 0.000 0.000
0.000 2.883 2.038
2.883 0.000 2.038
```

Computed, not measured: a relaxed structure of BaLa2Be at the GGA-PBE level of DFT.

Values from the calculation:
ΔH_f (0 K): 0.3429 eV per atom
Energy: -14.132 eV for the cell shown
D(E_F): 1.26 states/eV per atom
Magnetic moment: 0.00 μB/f.u.

The structure in POSCAR format:
```
BaLa2Be
1.0
-1.249 6.893 1.241
-3.069 4.966 4.066
3.457 2.161 3.701
Be Ba La
1 1 2
Cartesian
-0.319 3.630 2.270
-0.793 7.465 4.580
-3.853 11.282 5.212
-0.643 10.511 6.754
```

Computed, not measured: a relaxed structure of Ba2LaBe at the GGA-PBE level of DFT.

Values from the calculation:
ΔH_f (0 K): 0.5354 eV per atom
Energy: -10.357 eV for the cell shown
D(E_F): 1.48 states/eV per atom
Magnetic moment: 0.00 μB/f.u.

The structure in POSCAR format:
```
Ba2LaBe
1.0
11.868 0.015 0.009
11.183 3.973 0.009
11.183 1.935 3.470
Be Ba La
1 2 1
Cartesian
8.558 1.481 0.872
33.655 5.822 3.428
17.695 3.061 1.803
25.675 4.442 2.616
```

Computed, not measured: a relaxed structure of BaLa2Be at the GGA-PBE level of DFT.

Values from the calculation:
ΔH_f (0 K): 0.5366 eV per atom
Energy: -13.357 eV for the cell shown
D(E_F): 1.31 states/eV per atom
Magnetic moment: 0.00 μB/f.u.

The structure in POSCAR format:
```
BaLa2Be
1.0
5.938 0.000 -0.001
-2.798 6.276 0.005
0.342 1.117 3.578
Be Ba La
1 1 2
Cartesian
1.570 3.138 0.002
-1.228 3.696 1.792
0.000 0.000 0.000
3.140 0.558 1.789
```

Computed, not measured: a relaxed structure of Ba2LaBe at the GGA-PBE level of DFT.

Values from the calculation:
ΔH_f (0 K): 0.5775 eV per atom
Energy: -10.189 eV for the cell shown
D(E_F): 1.70 states/eV per atom
Magnetic moment: 0.00 μB/f.u.

The structure in POSCAR format:
```
Ba2LaBe
1.0
-4.330 -4.861 -1.336
1.672 -3.836 -5.163
3.116 2.148 5.463
Be Ba La
1 2 1
Cartesian
1.729 -3.018 -1.475
0.000 0.000 0.000
-1.329 -4.348 -3.249
-1.272 -3.531 0.439
```

Computed, not measured: a relaxed structure of Ba2LaBe at the GGA-PBE level of DFT.

Values from the calculation:
ΔH_f (0 K): 0.5790 eV per atom
Energy: -10.183 eV for the cell shown
D(E_F): 1.21 states/eV per atom
Magnetic moment: 0.00 μB/f.u.

The structure in POSCAR format:
```
Ba2LaBe
1.0
-4.280 2.064 -4.030
-3.217 -3.142 4.312
-0.416 3.411 2.182
Be Ba La
1 2 1
Cartesian
-2.348 2.738 -0.924
0.000 0.000 0.000
-3.748 -0.539 0.141
-1.817 0.135 3.247
```

Computed, not measured: a relaxed structure of Ba2LaBe at the GGA-PBE level of DFT.

Values from the calculation:
ΔH_f (0 K): 0.3619 eV per atom
Energy: -11.052 eV for the cell shown
D(E_F): 1.51 states/eV per atom
Magnetic moment: 0.00 μB/f.u.

The structure in POSCAR format:
```
Ba2LaBe
1.0
7.535 0.003 -0.021
6.508 3.798 -0.021
2.468 0.668 5.514
Be Ba La
1 2 1
Cartesian
8.450 2.287 2.634
14.033 3.798 -0.037
12.997 3.518 3.813
3.329 0.901 1.753
```

Computed, not measured: a relaxed structure of BaLa2Be at the GGA-PBE level of DFT.

Values from the calculation:
ΔH_f (0 K): 0.3730 eV per atom
Energy: -14.012 eV for the cell shown
D(E_F): 0.97 states/eV per atom
Magnetic moment: 0.00 μB/f.u.

The structure in POSCAR format:
```
BaLa2Be
1.0
-1.277 -3.783 -3.123
3.079 1.004 -2.476
5.158 -3.564 2.207
Be Ba La
1 1 2
Cartesian
5.539 -3.811 -1.763
1.421 -2.531 -1.629
7.828 -2.403 -0.290
4.527 -1.436 -0.112
```

Computed, not measured: a relaxed structure of BaLa2Be at the GGA-PBE level of DFT.

Values from the calculation:
ΔH_f (0 K): 0.4165 eV per atom
Energy: -27.676 eV for the cell shown
D(E_F): 0.98 states/eV per atom
Magnetic moment: 0.00 μB/f.u.

The structure in POSCAR format:
```
BaLa2Be
1.0
8.982 0.000 0.000
0.000 8.982 0.000
4.491 4.491 3.458
Be Ba La
2 2 4
Cartesian
4.491 4.491 0.000
4.491 8.982 1.729
0.000 0.000 0.000
8.982 4.491 1.729
6.163 2.245 0.864
2.818 6.736 0.864
6.736 7.309 2.593
11.227 10.654 2.593
```

Computed, not measured: a relaxed structure of BaLa2Be at the GGA-PBE level of DFT.

Values from the calculation:
ΔH_f (0 K): 0.4748 eV per atom
Energy: -13.605 eV for the cell shown
D(E_F): 1.24 states/eV per atom
Magnetic moment: 0.00 μB/f.u.

The structure in POSCAR format:
```
BaLa2Be
1.0
5.056 0.000 0.000
0.000 5.056 0.000
0.000 0.000 5.072
Be Ba La
1 1 2
Cartesian
0.000 2.528 2.536
2.528 0.000 2.536
0.000 0.000 0.000
2.528 2.528 0.000
```

Computed, not measured: a relaxed structure of BaLa2Be at the GGA-PBE level of DFT.

Values from the calculation:
ΔH_f (0 K): 0.5450 eV per atom
Energy: -13.324 eV for the cell shown
D(E_F): 1.28 states/eV per atom
Magnetic moment: 1.34 μB/f.u.

The structure in POSCAR format:
```
BaLa2Be
1.0
5.612 0.000 0.000
2.806 4.860 0.000
2.806 1.620 4.582
Be Ba La
1 1 2
Cartesian
8.418 4.860 3.437
5.612 3.240 2.291
0.000 0.000 0.000
2.806 1.620 1.146
```

Computed, not measured: a relaxed structure of Ba2La2Be at the GGA-PBE level of DFT.

Values from the calculation:
Energy above the lowest structure with this stoichiometry: 0.54 eV/f.u.
ΔH_f (0 K): 0.6733 eV per atom
Energy: -28.120 eV for the cell shown
D(E_F): 1.62 states/eV per atom
Magnetic moment: 0.00 μB/f.u.

The structure in POSCAR format:
```
Ba2La2Be
1.0
8.186 0.000 0.000
0.000 8.186 0.000
0.000 0.000 5.963
Be Ba La
2 4 4
Cartesian
0.000 0.000 0.000
4.093 4.093 0.000
2.862 6.956 0.000
6.956 5.324 0.000
5.324 1.231 0.000
1.231 2.862 0.000
1.298 5.392 2.982
5.392 6.888 2.982
6.888 2.795 2.982
2.795 1.298 2.982
```

Computed, not measured: a relaxed structure of Ba2LaBe at the GGA-PBE level of DFT.

Values from the calculation:
ΔH_f (0 K): 0.5897 eV per atom
Energy: -10.140 eV for the cell shown
D(E_F): 1.36 states/eV per atom
Magnetic moment: 0.00 μB/f.u.

The structure in POSCAR format:
```
Ba2LaBe
1.0
5.963 0.000 0.000
0.000 5.963 0.000
0.000 0.000 4.289
Be Ba La
1 2 1
Cartesian
2.982 0.000 2.145
0.000 0.000 0.000
2.982 2.982 0.000
0.000 2.982 2.145
```

Computed, not measured: a relaxed structure of Ba2LaBe at the GGA-PBE level of DFT.

Values from the calculation:
ΔH_f (0 K): 0.5424 eV per atom
Energy: -20.659 eV for the cell shown
D(E_F): 1.31 states/eV per atom
Magnetic moment: 0.00 μB/f.u.

The structure in POSCAR format:
```
Ba2LaBe
1.0
-8.046 -1.782 -6.995
6.508 -6.322 -5.876
-1.619 -6.389 -4.862
Be Ba La
2 4 2
Cartesian
-0.769 -4.052 -6.435
2.060 -8.381 -8.587
-3.685 -3.294 -5.509
1.722 -5.978 -6.575
-1.035 -8.566 -9.156
-3.317 -11.148 -14.226
0.000 0.000 0.000
-5.217 -6.111 -9.146
```

Computed, not measured: a relaxed structure of BaLa3Be at the GGA-PBE level of DFT.

Values from the calculation:
Energy above the lowest structure with this stoichiometry: 0.00 eV/f.u.
ΔH_f (0 K): 0.2715 eV per atom
Energy: -19.074 eV for the cell shown
D(E_F): 1.61 states/eV per atom
Magnetic moment: 0.00 μB/f.u.

The structure in POSCAR format:
```
BaLa3Be
1.0
5.768 0.000 0.000
0.000 5.768 0.000
0.000 0.000 5.768
Be Ba La
1 1 3
Cartesian
0.000 0.000 0.000
2.884 2.884 2.884
0.000 2.884 0.000
0.000 0.000 2.884
2.884 0.000 0.000
```

Computed, not measured: a relaxed structure of BaLa2Be at the GGA-PBE level of DFT.

Values from the calculation:
ΔH_f (0 K): 0.2418 eV per atom
Energy: -14.537 eV for the cell shown
D(E_F): 1.35 states/eV per atom
Magnetic moment: 0.00 μB/f.u.

The structure in POSCAR format:
```
BaLa2Be
1.0
-2.759 1.768 -1.950
-2.487 -0.828 2.769
2.124 8.086 4.326
Be Ba La
1 1 2
Cartesian
-0.947 6.851 3.824
1.192 4.536 2.427
2.001 7.619 4.076
-2.182 2.149 1.308
```

Computed, not measured: a relaxed structure of BaLa2Be at the GGA-PBE level of DFT.

Values from the calculation:
ΔH_f (0 K): 0.3190 eV per atom
Energy: -14.228 eV for the cell shown
D(E_F): 1.10 states/eV per atom
Magnetic moment: 0.00 μB/f.u.

The structure in POSCAR format:
```
BaLa2Be
1.0
11.293 -0.008 -0.005
10.626 3.823 -0.005
10.626 1.849 3.346
Be Ba La
1 1 2
Cartesian
24.409 4.248 2.502
8.136 1.416 0.834
0.807 0.140 0.083
15.466 2.692 1.585
```